The following is a DFT calculation (PBE) of a geometry-optimized GePdNO2 structure.

extended XYZ file:
```
5
Lattice="3.682 0.000 0.000 0.000 3.682 0.000 0.000 0.000 3.977" Properties=species:S:1:pos:R:3 pbc="T T T"
Ge 0.000 0.000 0.000
Pd 1.841 1.841 1.988
N 0.000 0.000 1.988
O 0.000 1.841 0.000
O 1.841 0.000 0.000
```

Results
DOS(E_F) in states/eV/cell: 5.05
Total DFT energy (no corrections) in eV/cell: -27.091
Space-group type: P4/mmm, No. 123

The following is a DFT calculation (PBE) of a geometry-optimized GePdN2O structure.

extended XYZ file:
```
5
Lattice="3.870 0.000 0.000 0.000 3.870 0.000 0.000 0.000 3.640" Properties=species:S:1:pos:R:3 pbc="T T T"
Ge 0.000 0.000 0.000
Pd 1.935 1.935 1.820
N 0.000 1.935 0.000
N 1.935 0.000 0.000
O 0.000 0.000 1.820
```

Results
DOS(E_F) in states/eV/cell: 4.75
Total DFT energy (no corrections) in eV/cell: -26.890
Space-group type: P4/mmm, No. 123

The following is a DFT calculation (PBE) of a geometry-optimized GePtNO2 structure.

extended XYZ file:
```
5
Lattice="3.660 0.000 0.000 0.000 3.660 0.000 0.000 0.000 4.029" Properties=species:S:1:pos:R:3 pbc="T T T"
Ge 0.000 0.000 0.000
Pt 1.830 1.830 2.015
N 0.000 0.000 2.015
O 0.000 1.830 0.000
O 1.830 0.000 0.000
```

Results
DOS(E_F) in states/eV/cell: 5.34
Total DFT energy (no corrections) in eV/cell: -26.832
Space-group type: P4/mmm, No. 123

The following is a DFT calculation (PBE) of a geometry-optimized GePtN2O structure.

extended XYZ file:
```
5
Lattice="3.887 0.000 0.000 0.000 3.887 0.000 0.000 0.000 3.592" Properties=species:S:1:pos:R:3 pbc="T T T"
Ge 0.000 0.000 0.000
Pt 1.944 1.944 1.796
N 0.000 1.944 0.000
N 1.944 0.000 0.000
O 0.000 0.000 1.796
```

Results
DOS(E_F) in states/eV/cell: 4.78
Total DFT energy (no corrections) in eV/cell: -26.896
Space-group type: P4/mmm, No. 123

The following is a DFT calculation (PBE) of a geometry-optimized GePtN2O structure.

extended XYZ file:
```
5
Lattice="3.849 0.000 0.000 0.000 3.849 0.000 0.000 0.000 4.333" Properties=species:S:1:pos:R:3 pbc="T T T"
Ge 0.000 0.000 0.000
Pt 1.924 1.924 2.167
N 0.000 1.924 2.167
N 1.924 0.000 2.167
O 1.924 1.924 0.000
```

Results
DOS(E_F) in states/eV/cell: 3.78
Total DFT energy (no corrections) in eV/cell: -26.887
Space-group type: P4/mmm, No. 123

The following is a DFT calculation (PBE) of a geometry-optimized GePtNO2 structure.

extended XYZ file:
```
5
Lattice="4.178 0.000 0.000 0.000 4.178 0.000 0.000 0.000 3.711" Properties=species:S:1:pos:R:3 pbc="T T T"
Ge 0.000 0.000 0.000
Pt 2.089 2.089 1.856
N 2.089 2.089 0.000
O 0.000 2.089 1.856
O 2.089 0.000 1.856
```

Results
DOS(E_F) in states/eV/cell: 1.78
Total DFT energy (no corrections) in eV/cell: -26.874
Space-group type: P4/mmm, No. 123

The following is a DFT calculation (PBE) of a geometry-optimized RbGeN2O structure.

extended XYZ file:
```
5
Lattice="4.125 0.000 0.000 0.000 4.125 0.000 0.000 0.000 3.973" Properties=species:S:1:pos:R:3 pbc="T T T"
Rb 0.000 0.000 0.000
Ge 2.062 2.062 1.986
N 0.000 2.062 1.986
N 2.062 0.000 1.986
O 2.062 2.062 0.000
```

Results
DOS(E_F) in states/eV/cell: 0.81
Total DFT energy (no corrections) in eV/cell: -24.656
Space-group type: P4/mmm, No. 123

The following is a DFT calculation (PBE) of a geometry-optimized RbGeN2O structure.

extended XYZ file:
```
5
Lattice="4.596 0.000 0.000 0.000 4.596 0.000 0.000 0.000 4.757" Properties=species:S:1:pos:R:3 pbc="T T T"
Rb 0.000 0.000 0.000
Ge 2.298 2.298 2.378
N 0.000 2.298 0.000
N 2.298 0.000 0.000
O 0.000 0.000 2.378
```

Results
DOS(E_F) in states/eV/cell: 2.12
Total DFT energy (no corrections) in eV/cell: -14.936
Space-group type: P4/mmm, No. 123

The following is a DFT calculation (PBE) of a geometry-optimized ReGeN2O structure.

extended XYZ file:
```
5
Lattice="3.849 0.000 0.000 0.000 3.849 0.000 0.000 0.000 3.587" Properties=species:S:1:pos:R:3 pbc="T T T"
Re 0.000 0.000 0.000
Ge 1.925 1.925 1.794
N 0.000 1.925 1.794
N 1.925 0.000 1.794
O 1.925 1.925 0.000
```

Results
DOS(E_F) in states/eV/cell: 2.13
Total DFT energy (no corrections) in eV/cell: -33.176
Space-group type: P4/mmm, No. 123

The following is a DFT calculation (PBE) of a geometry-optimized ReGeN2O structure.

extended XYZ file:
```
5
Lattice="3.949 0.000 0.000 0.000 3.949 0.000 0.000 0.000 3.862" Properties=species:S:1:pos:R:3 pbc="T T T"
Re 0.000 0.000 0.000
Ge 1.974 1.974 1.931
N 0.000 1.974 0.000
N 1.974 0.000 0.000
O 0.000 0.000 1.931
```

Results
DOS(E_F) in states/eV/cell: 1.34
Total DFT energy (no corrections) in eV/cell: -38.232
Space-group type: P4/mmm, No. 123

The following is a DFT calculation (PBE) of a geometry-optimized GeRuN2O structure.

extended XYZ file:
```
5
Lattice="3.817 0.000 0.000 0.000 3.817 0.000 0.000 0.000 4.289" Properties=species:S:1:pos:R:3 pbc="T T T"
Ge 0.000 0.000 0.000
Ru 1.909 1.909 2.144
N 0.000 1.909 2.144
N 1.909 0.000 2.144
O 1.909 1.909 0.000
```

Results
DOS(E_F) in states/eV/cell: 2.66
Total DFT energy (no corrections) in eV/cell: -32.631
Space-group type: P4/mmm, No. 123

The following is a DFT calculation (PBE) of a geometry-optimized GeRuN2O structure.

extended XYZ file:
```
5
Lattice="3.825 0.000 0.000 0.000 3.825 0.000 0.000 0.000 3.635" Properties=species:S:1:pos:R:3 pbc="T T T"
Ge 0.000 0.000 0.000
Ru 1.912 1.912 1.818
N 0.000 1.912 0.000
N 1.912 0.000 0.000
O 0.000 0.000 1.818
```

Results
DOS(E_F) in states/eV/cell: 4.60
Total DFT energy (no corrections) in eV/cell: -30.518
Space-group type: P4/mmm, No. 123

The following is a DFT calculation (PBE) of a geometry-optimized GeSbN2O structure.

extended XYZ file:
```
5
Lattice="4.065 0.000 0.000 0.000 4.065 0.000 0.000 0.000 3.990" Properties=species:S:1:pos:R:3 pbc="T T T"
Ge 0.000 0.000 0.000
Sb 2.033 2.033 1.995
N 0.000 2.033 1.995
N 2.033 0.000 1.995
O 2.033 2.033 0.000
```

Results
DOS(E_F) in states/eV/cell: 3.66
Total DFT energy (no corrections) in eV/cell: -27.172
Space-group type: P4/mmm, No. 123

The following is a DFT calculation (PBE) of a geometry-optimized GeSbN2O structure.

extended XYZ file:
```
5
Lattice="3.886 0.000 0.000 0.000 3.886 0.000 0.000 0.000 3.790" Properties=species:S:1:pos:R:3 pbc="T T T"
Ge 0.000 0.000 0.000
Sb 1.943 1.943 1.895
N 0.000 1.943 0.000
N 1.943 0.000 0.000
O 0.000 0.000 1.895
```

Results
DOS(E_F) in states/eV/cell: 3.49
Total DFT energy (no corrections) in eV/cell: -28.323
Space-group type: P4/mmm, No. 123

The following is a DFT calculation (PBE) of a geometry-optimized ScGeN2O structure.

extended XYZ file:
```
5
Lattice="3.750 0.000 0.000 0.000 3.750 0.000 0.000 0.000 3.802" Properties=species:S:1:pos:R:3 pbc="T T T"
Sc 0.000 0.000 0.000
Ge 1.875 1.875 1.901
N 0.000 1.875 1.901
N 1.875 0.000 1.901
O 1.875 1.875 0.000
```

Results
DOS(E_F) in states/eV/cell: 3.08
Total DFT energy (no corrections) in eV/cell: -34.934
Space-group type: P4/mmm, No. 123

The following is a DFT calculation (PBE) of a geometry-optimized ScGeNO2 structure.

extended XYZ file:
```
5
Lattice="4.063 0.000 0.000 0.000 4.063 0.000 0.000 0.000 4.254" Properties=species:S:1:pos:R:3 pbc="T T T"
Sc 0.000 0.000 0.000
Ge 2.032 2.032 2.127
N 0.000 0.000 2.127
O 0.000 2.032 0.000
O 2.032 0.000 0.000
```

Results
DOS(E_F) in states/eV/cell: 1.70
Total DFT energy (no corrections) in eV/cell: -32.571
Space-group type: P4/mmm, No. 123

The following is a DFT calculation (PBE) of a geometry-optimized ScGeN2O structure.

extended XYZ file:
```
5
Lattice="4.250 0.000 0.000 0.000 4.250 0.000 0.000 0.000 4.009" Properties=species:S:1:pos:R:3 pbc="T T T"
Sc 0.000 0.000 0.000
Ge 2.125 2.125 2.004
N 0.000 2.125 0.000
N 2.125 0.000 0.000
O 0.000 0.000 2.004
```

Results
DOS(E_F) in states/eV/cell: 1.97
Total DFT energy (no corrections) in eV/cell: -31.497
Space-group type: P4/mmm, No. 123

The following is a DFT calculation (PBE) of a geometry-optimized ScGeNO2 structure.

extended XYZ file:
```
5
Lattice="3.697 0.000 0.000 0.000 3.697 0.000 0.000 0.000 3.828" Properties=species:S:1:pos:R:3 pbc="T T T"
Sc 0.000 0.000 0.000
Ge 1.849 1.849 1.914
N 1.849 1.849 0.000
O 0.000 1.849 1.914
O 1.849 0.000 1.914
```

Results
DOS(E_F) in states/eV/cell: 0.04
Total DFT energy (no corrections) in eV/cell: -35.694
Space-group type: P4/mmm, No. 123

The following is a DFT calculation (PBE) of a geometry-optimized SiGeN2O structure.

extended XYZ file:
```
10
Lattice="5.409 0.000 0.000 0.000 5.024 0.000 -2.440 0.000 4.849" Properties=species:S:1:pos:R:3 pbc="T T T"
Si 0.848 0.000 0.112
Si 2.121 2.512 4.737
Ge 1.784 2.520 1.566
Ge 1.185 0.008 3.283
N 0.610 1.697 0.395
N 1.384 4.309 1.603
N 1.585 1.797 3.246
N 2.358 4.209 4.454
O -0.479 4.697 3.801
O 3.448 2.185 1.048
```

Results
DOS(E_F) in states/eV/cell: 0.00
Total DFT energy (no corrections) in eV/cell: -74.171
Space-group type: P2_1, No. 4

The following is a DFT calculation (PBE) of a geometry-optimized SiGeNO2 structure.

extended XYZ file:
```
5
Lattice="3.671 0.000 0.000 0.000 3.671 0.000 0.000 0.000 3.955" Properties=species:S:1:pos:R:3 pbc="T T T"
Si 0.000 0.000 0.000
Ge 1.836 1.836 1.978
N 1.836 1.836 0.000
O 0.000 1.836 1.978
O 1.836 0.000 1.978
```

Results
DOS(E_F) in states/eV/cell: 1.98
Total DFT energy (no corrections) in eV/cell: -28.409
Space-group type: P4/mmm, No. 123

In eV per atom, the energy relative to the elements, uncorrected values for the records above are, in order, 0.19; 0.91; 0.41; 1.07; 1.08; 0.41; 0.51; 2.45; 1.10; 0.09; 0.57; 1.00; 0.64; 0.41; -0.48; -0.68; 0.21; -1.30; -1.09; -0.03.